The following is a DFT calculation (GGA-PBE) of an optimized crystal structure of Nd2AlSn3Pd4.

Results
The magnetization comes out at 0.00 μB per atom. As for the energy of formation: -795 meV/atom. The value obtained for the total energy is -5.4009 eV per atom.

a b c (Å): 4.5105 4.5105 10.7366
angles (deg): 90.00 90.00 90.00
Last column: nearest neighbours and their distance in Å.
Element x y z (fractional)
Nd 0.0000 0.5000 0.2504  6 Sn 3.43-3.50, 8 Pd 3.46-3.51, 2 Al 3.50
Nd 0.5000 0.0000 0.7496  6 Sn 3.43-3.50, 8 Pd 3.46-3.51, 2 Al 3.50
Al 0.0000 0.0000 0.5000  4 Pd 2.62
Sn 0.0000 0.5000 0.8674  5 Pd 2.61-2.67
Sn 0.5000 0.0000 0.1326  5 Pd 2.61-2.67
Sn 0.5000 0.5000 0.5000  4 Pd 2.62
Pd 0.0000 0.0000 0.0000  4 Sn 2.67
Pd 0.0000 0.5000 0.6245  3 Sn 2.61-2.62, 2 Al 2.62
Pd 0.5000 0.0000 0.3755  3 Sn 2.61-2.62, 2 Al 2.62
Pd 0.5000 0.5000 0.0000  4 Sn 2.67

The following is a DFT calculation (GGA-PBE) of an optimized crystal structure of Ce6Bi3Sb2Te.

Results
The calculation puts the uncorrected formation energy at -1129 kJ/mol of formula units. The magnetization comes out at 0.49 μB per atom. The value obtained for the total energy is -5.8612 eV per atom.

a b c (Å): 10.1922 10.1922 9.0912
angles (deg): 103.13 103.13 25.85
Last column: nearest neighbours and their distance in Å.
Element x y z (fractional)
Ce 0.0019 0.0019 0.2496  1 Sb 3.18, 2 Te 3.21, 3 Bi 3.23-3.24
Ce 0.3319 0.3319 0.4208  3 Sb 3.19, 3 Bi 3.25
Ce 0.3335 0.3335 0.9123  2 Sb 3.19, 1 Te 3.22, 3 Bi 3.24
Ce 0.6665 0.6665 0.0877  2 Sb 3.19, 1 Te 3.22, 3 Bi 3.24
Ce 0.6681 0.6681 0.5792  3 Sb 3.19, 3 Bi 3.25
Ce 0.9981 0.9981 0.7504  1 Sb 3.18, 2 Te 3.21, 3 Bi 3.23-3.24
Bi 0.1658 0.1658 0.8333  6 Ce 3.24-3.25
Bi 0.5000 0.5000 0.5000  6 Ce 3.23-3.25
Bi 0.8342 0.8342 0.1667  6 Ce 3.24-3.25
Sb 0.1666 0.1666 0.3326  6 Ce 3.18-3.19
Sb 0.8334 0.8334 0.6674  6 Ce 3.18-3.19
Te 0.5000 0.5000 0.0000  6 Ce 3.21-3.22

The following is a DFT calculation (GGA-PBE) of an optimized crystal structure of Sm2MgCd2Pd5.

Results
The magnetization comes out at 0.00 μB per atom. As for the energy of formation: -509 meV/atom. The value obtained for the total energy is -4.3919 eV per atom.

a b c (Å): 10.4938 10.4938 3.6787
angles (deg): 90.00 90.00 90.00
Last column: nearest neighbours and their distance in Å.
Element x y z (fractional)
Sm 0.1665 0.3335 0.0000  3 Cd 2.96-3.18, 6 Pd 3.08-3.11
Sm 0.3335 0.8335 0.0000  3 Cd 2.96-3.18, 6 Pd 3.08-3.11
Sm 0.6665 0.1665 0.0000  3 Cd 2.96-3.18, 6 Pd 3.08-3.11
Sm 0.8335 0.6665 0.0000  3 Cd 2.96-3.18, 6 Pd 3.08-3.11
Mg 0.0000 0.0000 0.0000  8 Pd 2.80
Mg 0.5000 0.5000 0.0000  8 Pd 2.80
Cd 0.1343 0.6343 0.0000  6 Pd 2.71-2.77, 1 Sm 2.96
Cd 0.3657 0.1343 0.0000  6 Pd 2.71-2.77, 1 Sm 2.96
Cd 0.6343 0.8657 0.0000  6 Pd 2.71-2.77, 1 Sm 2.96
Cd 0.8657 0.3657 0.0000  6 Pd 2.71-2.77, 1 Sm 2.96
Pd 0.0000 0.5000 0.5000  4 Cd 2.71
Pd 0.0302 0.8017 0.5000  2 Cd 2.77, 2 Mg 2.80, 2 Pd 2.98
Pd 0.1983 0.0302 0.5000  2 Cd 2.77, 2 Mg 2.80, 2 Pd 2.98
Pd 0.3017 0.5302 0.5000  2 Cd 2.77, 2 Mg 2.80, 2 Pd 2.98
Pd 0.4698 0.3017 0.5000  2 Cd 2.77, 2 Mg 2.80, 2 Pd 2.98
Pd 0.5000 0.0000 0.5000  4 Cd 2.71
Pd 0.5302 0.6983 0.5000  2 Cd 2.77, 2 Mg 2.80, 2 Pd 2.98
Pd 0.6983 0.4698 0.5000  2 Cd 2.77, 2 Mg 2.80, 2 Pd 2.98
Pd 0.8017 0.9698 0.5000  2 Cd 2.77, 2 Mg 2.80, 2 Pd 2.98
Pd 0.9698 0.1983 0.5000  2 Cd 2.77, 2 Mg 2.80, 2 Pd 2.98